Record 1
# RbAg6Br8 PBE-GGA relaxed
data_RbAg6Br8
_symmetry_space_group_name_H-M 'P 1'
_symmetry_Int_Tables_number 1
_symmetry_space_group_name_Hall 'P 1'
_cell_length_a 7.796
_cell_length_b 7.796
_cell_length_c 7.796
_cell_angle_alpha 95.81
_cell_angle_beta 95.81
_cell_angle_gamma 95.81
loop_
_atom_site_label
_atom_site_type_symbol
_atom_site_fract_x
_atom_site_fract_y
_atom_site_fract_z
Rb1 Rb 0.000 0.000 0.000
Ag1 Ag 0.232 0.367 0.640
Ag2 Ag 0.360 0.768 0.633
Ag3 Ag 0.367 0.640 0.232
Ag4 Ag 0.633 0.360 0.768
Ag5 Ag 0.640 0.232 0.367
Ag6 Ag 0.768 0.633 0.360
Br1 Br 0.106 0.795 0.389
Br2 Br 0.205 0.611 0.894
Br3 Br 0.316 0.316 0.316
Br4 Br 0.389 0.106 0.795
Br5 Br 0.611 0.894 0.205
Br6 Br 0.684 0.684 0.684
Br7 Br 0.795 0.389 0.106
Br8 Br 0.894 0.205 0.611
# - Total magnetic moment: 0.0000 μB/atom
# - Formation energy (no corrections): -0.491 eV/atom
# - V: 466.0 Å³/cell

Record 2
# RbAg2Br5 PBE-GGA relaxed
data_RbAg2Br5
_symmetry_space_group_name_H-M 'P 1'
_symmetry_Int_Tables_number 1
_symmetry_space_group_name_Hall 'P 1'
_cell_length_a 5.286
_cell_length_b 5.286
_cell_length_c 19.963
_cell_angle_alpha 90.00
_cell_angle_beta 90.00
_cell_angle_gamma 90.00
loop_
_atom_site_label
_atom_site_type_symbol
_atom_site_fract_x
_atom_site_fract_y
_atom_site_fract_z
Rb1 Rb 0.000 0.000 0.000
Rb2 Rb 0.500 0.500 0.500
Ag1 Ag 0.000 0.000 0.360
Ag2 Ag 0.000 0.000 0.640
Ag3 Ag 0.500 0.500 0.140
Ag4 Ag 0.500 0.500 0.860
Br1 Br 0.000 0.000 0.500
Br2 Br 0.000 0.500 0.141
Br3 Br 0.000 0.500 0.359
Br4 Br 0.000 0.500 0.641
Br5 Br 0.000 0.500 0.859
Br6 Br 0.500 0.000 0.141
Br7 Br 0.500 0.000 0.359
Br8 Br 0.500 0.000 0.641
Br9 Br 0.500 0.000 0.859
Br10 Br 0.500 0.500 0.000
# - Total magnetic moment: 0.0000 μB/atom
# - Formation energy (no corrections): -0.550 eV/atom
# - V: 557.8 Å³/cell